A plane-wave DFT calculation with PBE-GGA was carried out for a geometry-optimized KMg2GaRh structure.

Geometry as extended XYZ:
```
5
Lattice="-2.7025 -0.6872 -4.2927 -4.1751 -0.9988 2.7883 -1.1473 4.7080 -0.0314" Properties=species:S:1:pos:R:3 pbc="T T T"
K -4.0124 1.5110 -0.7679
Rh 0.0000 0.0000 0.0000
Mg -2.0875 -0.4994 1.3941
Mg -1.3512 -0.3436 -2.1464
Ga -0.5737 2.3540 -0.0157
```

Properties
* ρ: 3.405 g/cm³
* ΔE_f: -0.270 eV/atom
* density of states at the Fermi level: 0.3623 states/eV per atom
* crystal system: tetragonal

=====

A plane-wave DFT calculation with PBE-GGA was carried out for a geometry-optimized GaPd2Au2 structure.

Geometry as extended XYZ:
```
10
Lattice="-3.6419 0.0257 -2.5840 0.4013 -5.6682 -0.6220 -2.2485 1.9499 7.0470" Properties=species:S:1:pos:R:3 pbc="T T T"
Ga -1.7169 -0.1752 0.4888
Ga -3.7721 -3.5174 3.3521
Pd -3.1397 -1.4845 -1.3776
Pd -2.9351 -4.3734 -1.6946
Pd -2.5539 0.6808 5.5356
Pd -2.3494 -2.2081 5.2186
Au -3.8072 -0.6460 3.4301
Au -0.8547 -3.2833 3.1013
Au -4.6343 -0.4093 0.7396
Au -1.6819 -3.0466 0.4108
```

Properties
* ρ: 13.068 g/cm³
* ΔE_f: -0.263 eV/atom
* density of states at the Fermi level: 0.3328 states/eV per atom
* crystal system: orthorhombic
* ΔE to the lowest computed polymorph: 2.71 kJ/mol of atoms

=====

A plane-wave DFT calculation with PBE-GGA was carried out for a geometry-optimized Nd4CuPd3 structure.

Geometry as extended XYZ:
```
8
Lattice="3.8813 0.0000 0.0000 0.0000 4.6551 0.0000 0.0000 0.0000 10.8850" Properties=species:S:1:pos:R:3 pbc="T T T"
Nd 1.9406 2.3275 3.9488
Nd 0.0000 2.3275 9.3801
Nd 0.0000 0.0000 1.4982
Nd 1.9406 0.0000 6.9425
Cu 1.9406 2.3275 0.8230
Pd 0.0000 2.3275 6.3764
Pd 0.0000 0.0000 4.5160
Pd 1.9406 0.0000 10.0548
```

Properties
* ρ: 8.104 g/cm³
* ΔE_f: -0.649 eV/atom
* density of states at the Fermi level: 0.7457 states/eV per atom
* crystal system: orthorhombic

=====

A plane-wave DFT calculation with PBE-GGA was carried out for a geometry-optimized VOsPd2Se structure.

Geometry as extended XYZ:
```
5
Lattice="4.5318 0.0000 0.0000 0.0000 4.4708 0.0000 0.0000 0.0000 4.5318" Properties=species:S:1:pos:R:3 pbc="T T T"
Os 2.2659 2.2354 2.2659
Se 0.0000 0.0000 0.0000
Pd 0.0000 0.0000 2.2659
Pd 2.2659 0.0000 0.0000
V 0.0000 2.2354 0.0000
```

Properties
* ρ: 9.639 g/cm³
* density of states at the Fermi level: 1.6057 states/eV per atom
* crystal system: tetragonal
* uncorrected energy: -5.743 eV/atom

=====

A plane-wave DFT calculation with PBE-GGA was carried out for a geometry-optimized Co2HgMo structure.

Geometry as extended XYZ:
```
4
Lattice="-1.5056 3.5480 2.0737 -4.0670 -1.6035 -0.2093 0.4037 -1.3675 2.6329" Properties=species:S:1:pos:R:3 pbc="T T T"
Co 0.0000 0.0000 0.0000
Co -2.7863 0.9723 0.9322
Hg -0.5510 1.0903 2.3533
Mo -1.8317 -1.4855 1.2118
```

Properties
* ρ: 11.998 g/cm³
* ΔE_f: 0.506 eV/atom
* density of states at the Fermi level: 1.3278 states/eV per atom
* crystal system: tetragonal

=====

A plane-wave DFT calculation with PBE-GGA was carried out for a geometry-optimized NdPO4 structure.

Geometry as extended XYZ:
```
18
Lattice="-5.6743 -2.4458 -3.6320 1.1449 -2.1598 6.7376 -3.4987 4.9011 2.1656" Properties=species:S:1:pos:R:3 pbc="T T T"
Nd -1.7600 2.1875 4.8125
Nd -3.4309 -0.6691 2.2747
Nd -2.8371 -1.2229 -1.8160
P -0.0106 -0.2630 3.7297
P -5.1802 1.7815 3.3575
P -4.5865 1.2277 -0.7332
O -5.6145 3.0570 2.5889
O -6.0355 1.1949 -0.1804
O -5.3667 -1.7592 1.2823
O -1.3722 0.2489 3.1910
O -3.3831 -1.4987 4.5616
O -5.7893 1.9676 4.7719
O -3.6016 0.3327 0.0638
O -3.6360 1.6346 3.3650
O -0.0483 -1.7419 4.1963
O -4.6040 -2.6915 -1.0146
O -5.6811 0.4668 2.7041
O -3.0359 0.5622 6.0974
```

Properties
* ρ: 4.186 g/cm³
* density of states at the Fermi level: 0.0000 states/eV per atom
* crystal system: hexagonal
* uncorrected energy: -7.984 eV/atom

=====

A plane-wave DFT calculation with PBE-GGA was carried out for a geometry-optimized Cd2SiHg structure.

Geometry as extended XYZ:
```
4
Lattice="5.3961 0.8768 -0.6167 -1.6748 5.2041 -0.6167 0.2613 0.4269 2.8582" Properties=species:S:1:pos:R:3 pbc="T T T"
Cd 0.0000 0.0000 0.0000
Cd 1.8607 3.0404 -0.6167
Hg 2.8287 0.6519 1.1207
Si -0.7067 2.8155 1.1207
```

Properties
* ρ: 8.654 g/cm³
* density of states at the Fermi level: 0.4557 states/eV per atom
* crystal system: monoclinic
* ΔE to the lowest computed polymorph: 3.94 kJ/mol of atoms

=====

A plane-wave DFT calculation with PBE-GGA was carried out for a geometry-optimized LiPr3Y3Se8 structure.

Geometry as extended XYZ:
```
15
Lattice="-0.0025 -3.5844 -7.4444 6.3902 -1.1108 5.1179 -7.3291 -3.5500 1.7119" Properties=species:S:1:pos:R:3 pbc="T T T"
Li -3.6646 -1.7750 0.8560
Pr 0.0000 0.0000 0.0000
Pr 3.1951 -0.5554 2.5589
Pr 3.1938 -2.3476 -1.1632
Y -3.6658 -3.5672 -2.8662
Y -0.4707 -4.1227 -0.3073
Y -0.4695 -2.3304 3.4149
Se 1.3202 -2.4137 1.1618
Se -2.2616 -5.8316 -1.7764
Se 1.3192 -4.2084 -2.5592
Se -2.2606 -4.0369 1.9447
Se -1.8771 -3.6523 -5.1188
Se 0.9357 -4.5930 4.5042
Se -1.8758 -1.8598 -1.3960
Se 0.9344 -6.3855 0.7815
```

Properties
* ρ: 5.471 g/cm³
* density of states at the Fermi level: 0.3127 states/eV per atom
* crystal system: trigonal
* uncorrected energy: -6.043 eV/atom

=====

A plane-wave DFT calculation with PBE-GGA was carried out for a geometry-optimized RbNaTl2Cu structure.

Geometry as extended XYZ:
```
5
Lattice="5.3508 0.0000 0.0000 0.0000 5.3508 0.0000 0.0000 0.0000 5.7429" Properties=species:S:1:pos:R:3 pbc="T T T"
Na 0.0000 0.0000 2.8714
Tl 0.0000 2.6754 0.0000
Tl 2.6754 0.0000 0.0000
Cu 0.0000 0.0000 0.0000
Rb 2.6754 2.6754 2.8714
```

Properties
* ρ: 5.865 g/cm³
* ΔE_f: 0.073 eV/atom
* density of states at the Fermi level: 0.5481 states/eV per atom
* crystal system: tetragonal

=====

A plane-wave DFT calculation with PBE-GGA was carried out for a geometry-optimized AcMgCd6In structure.

Geometry as extended XYZ:
```
18
Lattice="-4.6264 4.2566 -0.6633 -0.9823 -2.7510 -10.8024 -2.3086 -6.0281 7.5412" Properties=species:S:1:pos:R:3 pbc="T T T"
Ac -5.8210 -1.9253 -1.8784
Ac -2.0962 -2.5972 -2.0461
Mg -3.4675 -0.8858 3.4390
Mg -1.1543 -3.0141 3.7706
Cd -4.4994 -5.0767 -1.1961
Cd -6.6039 -1.8643 3.9734
Cd -5.0713 1.6853 0.2954
Cd -3.1856 -2.0432 -5.2496
Cd -2.6497 -0.5427 0.6426
Cd -5.6071 0.1848 -5.5968
Cd -3.4179 0.5542 -2.7284
Cd -1.3134 -2.6582 -7.8979
Cd -2.8459 -6.2078 -4.2199
Cd -4.7317 -2.4793 1.3251
Cd -5.2675 -3.9798 -4.5671
Cd -2.3101 -4.7073 1.6723
In -2.8044 0.7528 -5.7329
In -2.3132 2.1283 -0.3317
```

Properties
* ρ: 6.457 g/cm³
* ΔE_f: 0.102 eV/atom
* density of states at the Fermi level: 0.6409 states/eV per atom
* crystal system: orthorhombic

=====

A plane-wave DFT calculation with PBE-GGA was carried out for a geometry-optimized CaMgCrNi2 structure.

Geometry as extended XYZ:
```
5
Lattice="4.4659 0.0000 0.0000 0.0000 4.8509 0.0000 0.0000 0.0000 4.4659" Properties=species:S:1:pos:R:3 pbc="T T T"
Ni 0.0000 0.0000 2.2329
Ni 2.2329 0.0000 0.0000
Ca 2.2329 2.4254 2.2329
Mg 0.0000 2.4254 0.0000
Cr 0.0000 0.0000 0.0000
```

Properties
* ρ: 4.012 g/cm³
* ΔE_f: 0.574 eV/atom
* density of states at the Fermi level: 1.0041 states/eV per atom
* crystal system: tetragonal

=====

A plane-wave DFT calculation with PBE-GGA was carried out for a geometry-optimized Li2LaSm2Sb2 structure.

Geometry as extended XYZ:
```
7
Lattice="-1.8386 1.5835 -4.1409 2.2585 -0.9162 -4.1345 -4.6701 -7.6635 -3.6385" Properties=species:S:1:pos:R:3 pbc="T T T"
Li -0.8385 -1.3888 -5.7216
Li -3.4116 -5.6074 -6.1923
La 0.0000 0.0000 0.0000
Sm -2.7811 -4.5666 -3.2929
Sm -1.4690 -2.4297 -8.6210
Sb -3.3543 -5.5205 -8.9659
Sb -0.8958 -1.4757 -2.9480
```

Properties
* ρ: 6.253 g/cm³
* density of states at the Fermi level: 0.8057 states/eV per atom
* crystal system: trigonal
* uncorrected energy: -4.405 eV/atom

=====

A plane-wave DFT calculation with PBE-GGA was carried out for a geometry-optimized La6ZnGa structure.

Geometry as extended XYZ:
```
8
Lattice="-2.6732 2.6732 8.8759 2.6732 -2.6732 8.8759 2.6732 2.6732 -8.8759" Properties=species:S:1:pos:R:3 pbc="T T T"
La 0.0000 0.0000 4.4750
La 0.0000 2.6732 7.0434
La 2.6732 0.0000 7.0434
La 2.6732 0.0000 1.8324
La 0.0000 0.0000 13.2768
La 0.0000 2.6732 1.8324
Zn 0.0000 0.0000 0.0000
Ga 0.0000 0.0000 8.8759
```

Properties
* ρ: 6.339 g/cm³
* ΔE_f: -0.221 eV/atom
* density of states at the Fermi level: 1.2425 states/eV per atom
* crystal system: tetragonal

=====

A plane-wave DFT calculation with PBE-GGA was carried out for a geometry-optimized Sb2AsPt structure.

Geometry as extended XYZ:
```
4
Lattice="-1.4529 -2.7885 -4.0807 0.5041 -4.3142 2.7699 -3.0486 0.2354 0.9233" Properties=species:S:1:pos:R:3 pbc="T T T"
Sb 0.0000 0.0000 0.0000
Sb -0.4744 -3.5514 -0.6554
As -2.2507 -1.2766 -1.5787
Pt -1.2723 -2.0394 1.8466
```

Properties
* ρ: 10.060 g/cm³
* density of states at the Fermi level: 0.5226 states/eV per atom
* crystal system: tetragonal
* uncorrected energy: -4.584 eV/atom

=====

A plane-wave DFT calculation with PBE-GGA was carried out for a geometry-optimized K4HI2Br structure.

Geometry as extended XYZ:
```
8
Lattice="4.7673 0.0000 0.0000 0.0000 8.2329 0.1561 0.0000 -2.8672 7.8044" Properties=species:S:1:pos:R:3 pbc="T T T"
K 2.3836 1.2657 1.7507
K 2.3836 4.1000 6.2099
K 0.0000 -0.2200 6.1137
K 0.0000 5.5857 1.8469
H 0.0000 0.0000 0.0000
I 2.3836 -1.4336 3.9022
I 0.0000 2.6828 3.9803
Br 2.3836 4.1165 0.0781
```

Properties
* ρ: 2.644 g/cm³
* density of states at the Fermi level: 0.0000 states/eV per atom
* crystal system: monoclinic
* uncorrected energy: -2.754 eV/atom

=====

A plane-wave DFT calculation with PBE-GGA was carried out for a geometry-optimized Pm3Cu2Hg3 structure.

Geometry as extended XYZ:
```
16
Lattice="4.5916 0.0000 0.0000 -2.2958 5.2348 0.0000 0.0000 0.0000 15.9909" Properties=species:S:1:pos:R:3 pbc="T T T"
Pm 2.2958 4.4338 6.2998
Pm 0.0000 0.8010 14.2953
Pm 2.2958 4.4338 1.6956
Pm 0.0000 0.8010 9.6911
Pm 2.2958 1.5575 3.9977
Pm 0.0000 3.6773 11.9932
Cu 2.2958 2.9889 14.2429
Cu 0.0000 2.2459 6.2475
Cu 2.2958 2.9889 9.7435
Cu 0.0000 2.2459 1.7480
Hg 2.2958 1.3522 7.3053
Hg 0.0000 3.8826 15.3007
Hg 2.2958 1.3522 0.6902
Hg 0.0000 3.8826 8.6857
Hg 0.0000 3.7527 3.9977
Hg 2.2958 1.4821 11.9932
```

Properties
* ρ: 10.056 g/cm³
* ΔE_f: -0.331 eV/atom
* density of states at the Fermi level: 0.6900 states/eV per atom
* crystal system: orthorhombic
* ΔE to the lowest computed polymorph: 0.69 kJ/mol of atoms

=====

A plane-wave DFT calculation with PBE-GGA was carried out for a geometry-optimized NdEr2MgAg4 structure.

Geometry as extended XYZ:
```
8
Lattice="-1.7133 3.9986 -2.5670 -0.2813 -0.1661 -5.0405 -8.4780 -1.7267 -2.0008" Properties=species:S:1:pos:R:3 pbc="T T T"
Nd 0.0000 0.0000 0.0000
Er -7.7496 1.6197 -7.2134
Er -2.7230 0.4861 -2.3949
Mg -5.2363 1.0529 -4.8042
Ag -7.9706 0.0015 -4.6169
Ag -4.9406 2.6998 -7.4058
Ag -5.5320 -0.5940 -2.2026
Ag -2.5019 2.1043 -4.9914
```

Properties
* ρ: 8.373 g/cm³
* ΔE_f: -0.267 eV/atom
* density of states at the Fermi level: 0.8117 states/eV per atom
* crystal system: trigonal

=====

A plane-wave DFT calculation with PBE-GGA was carried out for a geometry-optimized La2CdInOs structure.

Geometry as extended XYZ:
```
5
Lattice="5.5127 0.0000 0.0000 0.0000 5.5127 0.0000 0.0000 0.0000 5.2722" Properties=species:S:1:pos:R:3 pbc="T T T"
Cd 2.7564 2.7564 2.6361
In 0.0000 0.0000 2.6361
Os 0.0000 0.0000 0.0000
La 0.0000 2.7564 0.0000
La 2.7564 0.0000 0.0000
```

Properties
* ρ: 7.206 g/cm³
* ΔE_f: -0.176 eV/atom
* density of states at the Fermi level: 0.6323 states/eV per atom
* crystal system: tetragonal

=====

A plane-wave DFT calculation with PBE-GGA was carried out for a geometry-optimized AcScPtAu structure.

Geometry as extended XYZ:
```
4
Lattice="-0.9044 -2.8981 -4.1571 -0.1401 -5.1287 0.4188 -4.4753 -2.4995 -0.4709" Properties=species:S:1:pos:R:3 pbc="T T T"
Sc -2.7599 -5.2631 -2.1046
Ac 0.0000 0.0000 0.0000
Au -4.1399 -7.8947 -3.1570
Pt -1.3800 -2.6316 -1.0523
```

Properties
* ρ: 11.432 g/cm³
* ΔE_f: -0.765 eV/atom
* density of states at the Fermi level: 0.7426 states/eV per atom
* crystal system: cubic

=====

A plane-wave DFT calculation with PBE-GGA was carried out for a geometry-optimized PuCrAs structure.

Geometry as extended XYZ:
```
6
Lattice="-3.9555 1.0953 -0.6125 -1.2296 -3.7874 1.1680 -0.3971 2.0508 6.2319" Properties=species:S:1:pos:R:3 pbc="T T T"
As -2.2603 2.0068 4.1276
As -0.7294 -1.3020 2.3820
Pu -2.0492 0.9164 0.8144
Pu -0.9405 -0.2117 5.6953
Cr -2.7911 -0.3207 3.3937
Cr -0.1986 1.0254 3.1160
```

Properties
* ρ: 10.883 g/cm³
* ΔE_f: -0.428 eV/atom
* density of states at the Fermi level: 2.5314 states/eV per atom
* crystal system: tetragonal

=====

A plane-wave DFT calculation with PBE-GGA was carried out for a geometry-optimized KNaAu structure.

Geometry as extended XYZ:
```
3
Lattice="-0.2455 2.5864 -2.9072 -1.6886 -2.6952 -2.2552 -4.9236 1.9316 4.7486" Properties=species:S:1:pos:R:3 pbc="T T T"
Na -3.8824 1.2372 1.4285
K -2.0414 0.2879 -2.1859
Au -6.0245 1.5572 -0.7203
```

Properties
* ρ: 4.319 g/cm³
* ΔE_f: -0.184 eV/atom
* density of states at the Fermi level: 0.5234 states/eV per atom
* crystal system: tetragonal

=====

A plane-wave DFT calculation with PBE-GGA was carried out for a geometry-optimized K2AlGeAu6 structure.

Geometry as extended XYZ:
```
10
Lattice="7.0498 -0.0003 0.0048 0.0022 7.0328 -0.0240 3.5199 3.4962 4.9866" Properties=species:S:1:pos:R:3 pbc="T T T"
K 6.4580 3.5072 2.0704
K 4.1138 7.0216 2.8970
Al 0.0000 0.0000 0.0000
Ge 3.5260 3.5163 -0.0096
Au 2.8804 3.5035 2.4871
Au 8.4862 9.0949 4.5107
Au 2.0952 5.5993 0.4561
Au 8.4766 4.9295 4.5113
Au 2.0857 1.4339 0.4568
Au 7.6914 7.0253 2.4803
```

Properties
* ρ: 9.114 g/cm³
* ΔE_f: -0.279 eV/atom
* density of states at the Fermi level: 0.2157 states/eV per atom
* crystal system: triclinic

=====

A plane-wave DFT calculation with PBE-GGA was carried out for a geometry-optimized Ca2TbSc structure.

Geometry as extended XYZ:
```
4
Lattice="3.4945 0.0000 0.0000 1.7473 3.0263 0.0000 1.7473 1.0088 12.7274" Properties=species:S:1:pos:R:3 pbc="T T T"
Sc 0.0000 0.0000 0.0000
Ca 1.7473 1.0088 9.4842
Ca 5.2418 3.0263 3.2432
Tb 3.4945 2.0176 6.3637
```

Properties
* ρ: 3.504 g/cm³
* ΔE_f: 0.320 eV/atom
* density of states at the Fermi level: 1.6218 states/eV per atom
* crystal system: trigonal

=====

A plane-wave DFT calculation with PBE-GGA was carried out for a geometry-optimized Tb2Zn2SnPd5 structure.

Geometry as extended XYZ:
```
20
Lattice="-0.6784 2.6669 -2.6473 0.7387 -6.7728 -7.0123 -9.5930 -1.7580 0.6875" Properties=species:S:1:pos:R:3 pbc="T T T"
Tb -1.1959 -4.8944 -4.6242
Tb -7.6585 -3.6364 -1.7006
Tb -2.9701 -1.7655 -1.0174
Tb -5.8842 -6.7653 -5.3075
Zn -5.8549 -1.8987 -0.4123
Zn -2.9994 -6.6321 -5.9126
Zn -7.9887 -5.7439 -3.7391
Zn -0.8656 -2.7870 -2.5858
Sn 0.0000 0.0000 0.0000
Sn -4.4272 -4.2654 -3.1624
Pd -0.8366 -0.1982 -2.7391
Pd -8.6962 -5.6658 -6.2330
Pd -7.8818 -0.5179 -1.2556
Pd -3.9610 -4.2248 -5.9949
Pd -1.6510 -5.3461 -7.7165
Pd -5.5718 -1.6391 -2.9772
Pd -6.7165 -3.7584 -4.8188
Pd -2.8163 -2.1055 -4.1533
Pd 0.0301 -2.0530 -4.8298
Pd -5.1357 0.4544 -0.9799
```

Properties
* ρ: 10.004 g/cm³
* ΔE_f: -0.720 eV/atom
* density of states at the Fermi level: 0.4058 states/eV per atom
* crystal system: tetragonal